The following is a PBE-GGA calculation of a relaxed structure of Hf3PC, from the Alexandria database.

* spin magnetization: 0.00 Bohr magnetons per cell
* energy relative to the elements: -260.3 meV per atom
* VASP energy: -9.16 eV per atom
* Fermi-level density of states: 3.602 states/eV per cell

Geometry as CIF:
```
data_Hf3PC
_symmetry_space_group_name_H-M 'P m -3 m'
_symmetry_Int_Tables_number 221
_symmetry_space_group_name_Hall '-P 4 2 3'
_cell_length_a 4.416
_cell_length_b 4.416
_cell_length_c 4.416
_cell_angle_alpha 90.00
_cell_angle_beta 90.00
_cell_angle_gamma 90.00
loop_
_atom_site_label
_atom_site_type_symbol
_atom_site_fract_x
_atom_site_fract_y
_atom_site_fract_z
_atom_site_occupancy
Hf1 Hf 0.000 0.000 0.500 1
P1 P 0.500 0.500 0.500 1
C1 C 0.000 0.000 0.000 1
```